[1]
DFT (GGA-PBE) results for a relaxed structure of Si2SbCl.

As for the total energy: -16.729 eV for the cell shown. As for the crystal system: monoclinic. The volume is 28.0 A^3/atom. As for the uncorrected formation energy: 0.021 eV/atom. The polymorph energy (0 for the lowest one) comes out at 0.57 eV per formula unit.

It has space group Pm (No. 6), with a = 4.477 Å, b = 3.815 Å, c = 6.859 Å, α = 90.00°, β = 107.25° and γ = 90.00°. The inequivalent atoms are Si at (0.000, 0.000, 0.000), Si at (0.328, 0.500, 0.027), Sb at (0.711, 0.000, 0.277) and Cl at (0.432, 0.500, 0.743).

[2]
DFT (GGA-PBE) results for a relaxed structure of Ta2CuPt4.

As for the total energy: -109.409 eV for the cell shown. As for the crystal system: monoclinic. The volume is 16.3 A^3/atom.

It has space group P2_1/m (No. 11), with a = 6.536 Å, b = 5.206 Å, c = 7.430 Å, α = 90.00°, β = 115.49° and γ = 90.00°. The inequivalent atoms are Ta at (0.136, 0.250, 0.050), Ta at (0.304, 0.250, 0.521), Cu at (0.253, 0.750, 0.296), Pt at (0.091, 0.504, 0.722), Pt at (0.450, 0.750, 0.684) and Pt at (0.460, 0.750, 0.075).

[3]
DFT (GGA-PBE) results for a relaxed structure of Cs2SrMnI6.

As for the total energy: -34.483 eV for the cell shown. As for the crystal system: trigonal. The volume is 49.0 A^3/atom. As for the uncorrected formation energy: -1.262 eV/atom. The polymorph energy (0 for the lowest one) comes out at 0.00 eV per formula unit.

It has space group P-3m1 (No. 164), with a = 8.5468 Å, b = 8.5468 Å, c = 7.7482 Å, α = 90.00°, β = 90.00° and γ = 120.00°. The inequivalent atoms are Cs at (0.3333, 0.6667, 0.1905), Sr at (0.0000, 0.0000, 0.5000), Mn at (0.0000, 0.0000, 0.0000) and I at (0.1632, 0.3265, 0.7809).

[4]
DFT (GGA-PBE) results for a relaxed structure of HgTe2Pb.

As for the total energy: -29.059 eV for the cell shown. As for the crystal system: trigonal. The volume is 30.5 A^3/atom. As for the uncorrected formation energy: 0.152 eV/atom.

It has space group R3m (No. 160, hexagonal axes), with a = 3.3055 Å, b = 3.3055 Å, c = 38.6475 Å, α = 90.00°, β = 90.00° and γ = 120.00°. The inequivalent atoms are Hg at (0.0000, 0.0000, 0.0000), Te at (0.0000, 0.0000, 0.2567), Te at (0.0000, 0.0000, 0.4884) and Pb at (0.0000, 0.0000, 0.7401).

[5]
DFT (GGA-PBE) results for a relaxed structure of LiAgTe2I.

As for the total energy: -12.080 eV for the cell shown. As for the crystal system: tetragonal. The volume is 35.4 A^3/atom. As for the uncorrected formation energy: 0.104 eV/atom. The polymorph energy (0 for the lowest one) comes out at 0.00 eV per formula unit.

It has space group P4/mmm (No. 123), with a = 5.457 Å, b = 5.457 Å, c = 5.951 Å, α = 90.00°, β = 90.00° and γ = 90.00°. The inequivalent atoms are Li at (0.000, 0.000, 0.000), Ag at (0.500, 0.500, 0.500), Te at (0.000, 0.500, 0.500) and I at (0.500, 0.500, 0.000).

[6]
DFT (GGA-PBE) results for a relaxed structure of Y2TaMn.

As for the total energy: -66.249 eV for the cell shown. As for the crystal system: orthorhombic. The volume is 22.2 A^3/atom. The polymorph energy (0 for the lowest one) comes out at 0.20 eV per formula unit.

It has space group Imm2 (No. 44), with a = 3.399 Å, b = 5.089 Å, c = 10.287 Å, α = 90.00°, β = 90.00° and γ = 90.00°. The inequivalent atoms are Y at (0.000, 0.000, 0.000), Y at (0.000, 0.500, 0.211), Ta at (0.000, 0.000, 0.409) and Mn at (0.000, 0.500, 0.744).